Material: InAg3Te4Pd
Method: DFT, PBE
State: relaxed

Crystal system   cubic

a = 6.4753 Å, b = 6.4753 Å, c = 6.4753 Å
α = 90.00°, β = 90.00°, γ = 90.00°
Last column: nearest neighbours and their distance in Å.
Fractional positions:
1 In 0.0000 0.0000 0.0000  4 Te 2.86
2 Ag 0.0000 0.5000 0.5000  4 Te 2.79
3 Ag 0.5000 0.0000 0.5000  4 Te 2.79
4 Ag 0.5000 0.5000 0.0000  4 Te 2.79
5 Te 0.2546 0.2546 0.2546  1 Pd 2.75, 3 Ag 2.79, 1 In 2.86
6 Te 0.2546 0.7454 0.7454  1 Pd 2.75, 3 Ag 2.79, 1 In 2.86
7 Te 0.7454 0.2546 0.7454  1 Pd 2.75, 3 Ag 2.79, 1 In 2.86
8 Te 0.7454 0.7454 0.2546  1 Pd 2.75, 3 Ag 2.79, 1 In 2.86
9 Pd 0.5000 0.5000 0.5000  4 Te 2.75



Material: InAgTe3Pd
Method: DFT, PBE
State: relaxed

Crystal system   orthorhombic

a = 7.7794 Å, b = 7.7794 Å, c = 10.2622 Å
α = 90.00°, β = 90.00°, γ = 150.76°
Last column: nearest neighbours and their distance in Å.
Fractional positions:
1 In 0.2165 0.7835 0.7500  6 Te 3.23-3.29, 2 Ag 3.51
2 In 0.7835 0.2165 0.2500  6 Te 3.23-3.29, 2 Ag 3.51
3 Ag 0.4768 0.5232 0.2500  4 Te 2.78
4 Ag 0.5232 0.4768 0.7500  4 Te 2.78
5 Te 0.1079 0.8921 0.2500  2 Ag 2.78, 2 Pd 3.04
6 Te 0.3667 0.6333 0.0323  1 Ag 2.78, 2 Pd 2.83
7 Te 0.3667 0.6333 0.4677  1 Ag 2.78, 2 Pd 2.83
8 Te 0.6333 0.3667 0.5323  1 Ag 2.78, 2 Pd 2.83
9 Te 0.6333 0.3667 0.9677  1 Ag 2.78, 2 Pd 2.83
10 Te 0.8921 0.1079 0.7500  2 Ag 2.78, 2 Pd 3.04
11 Pd 0.0000 0.0000 0.0000  6 Te 2.83-3.04
12 Pd 0.0000 0.0000 0.5000  6 Te 2.83-3.04



| no. | total energy (eV per atom) |
| --- | --- |
| 1 | -3.31 |
| 2 | -3.46 |